First-principles (PBE-GGA) data for a relaxed PaCr2S4 crystal, as listed in the Alexandria database.

Cell and atoms, written as POSCAR:
```
PaCr2S4
1.0
3.636 0.000 0.000
0.000 5.880 -1.957
0.000 0.033 6.147
S Cr Pa
4 2 1
Cartesian
0.000 1.438 3.914
0.000 4.476 0.275
1.818 1.598 1.186
1.818 4.315 3.003
1.818 0.017 3.073
3.636 2.957 2.095
3.636 0.000 0.000
```

Computed properties:
ΔE_f (raw), meV/atom: -959
Fermi-level density of states, states/eV per atom: 0.85
M_tot, μB per formula unit: 4.82
V, Å³/cell: 131.6